# GGA-PBE KSrAgO2, relaxed
data_KSrAgO2
_chemical_formula_sum 'K2 Sr2 Ag2 O4'
_space_group_name_H-M_alt 'P 1'
_space_group_IT_number 1
_space_group_name_Hall 'P 1'
_cell_length_a 7.708
_cell_length_b 7.708
_cell_length_c 6.039
_cell_angle_alpha 90.00
_cell_angle_beta 90.00
_cell_angle_gamma 124.12
loop_
_atom_site_label
_atom_site_type_symbol
_atom_site_fract_x
_atom_site_fract_y
_atom_site_fract_z
K1 K 0.250 0.750 0.858
K2 K 0.750 0.250 0.142
Sr1 Sr 0.250 0.250 0.500
Sr2 Sr 0.750 0.750 0.500
Ag1 Ag 0.000 0.000 0.000
Ag2 Ag 0.500 0.500 0.000
O1 O 0.079 0.921 0.706
O2 O 0.421 0.579 0.706
O3 O 0.579 0.421 0.294
O4 O 0.921 0.079 0.294
# - E_form (uncorrected): -7.038 eV/f.u.
# - Energy: -4.517 eV/atom